An optimized crystal structure of As2RhCl, computed with PBE.

Cell lengths 6.107, 6.107, 6.107 Å; angles 151.59, 137.03, 52.32 degrees
Positions (direct):
As (0.056, 0.056, 0.000)
As (0.444, 0.444, 0.000)
Rh (0.250, 0.750, 0.500)
Cl (0.750, 0.250, 0.500)

## Properties
D(E_F), states/eV/atom: 0.585
Energy above the most stable polymorph in this dataset, meV/atom: 413